Record 1
# PBE CaSi2Au, optimized geometry
data_CaSi2Au
_space_group_name_H-M_alt 'C m m m'
_space_group_IT_number 65
_space_group_name_Hall '-C 2 2'
_cell_length_a 4.430
_cell_length_b 5.750
_cell_length_c 6.554
_cell_angle_alpha 90.00
_cell_angle_beta 90.00
_cell_angle_gamma 90.00
loop_
_atom_site_label
_atom_site_type_symbol
_atom_site_fract_x
_atom_site_fract_y
_atom_site_fract_z
_atom_site_occupancy
Ca1 Ca 0.000 0.000 0.000 1
Si1 Si 0.000 0.500 0.307 1
Au1 Au 0.000 0.000 0.500 1
# ρ: 5.83 Mg/m³
# Magnetization: 0.000 μB per formula unit
# Volume: 20.868 A^3/atom
# E: -4.111 eV per atom
# Formation energy (no corrections): -0.32 eV/f.u.
# D(E_F): 0.41 states/eV per atom


Record 2
# PBE VSn, optimized geometry
data_VSn
_space_group_name_H-M_alt 'P 63/m m c'
_space_group_IT_number 194
_space_group_name_Hall '-P 6c 2c'
_cell_length_a 4.6755
_cell_length_b 4.6755
_cell_length_c 5.3039
_cell_angle_alpha 90.00
_cell_angle_beta 90.00
_cell_angle_gamma 120.00
loop_
_atom_site_label
_atom_site_type_symbol
_atom_site_fract_x
_atom_site_fract_y
_atom_site_fract_z
_atom_site_occupancy
V1 V 0.3333 0.6667 0.2500 1
Sn1 Sn 0.3333 0.6667 0.7500 1
# ρ: 5.61 Mg/m³
# Magnetization: 1.034 μB per formula unit
# Volume: 25.103 A^3/atom
# Energy of formation: 744 meV/atom
# E: -5.817 eV per atom
# D(E_F): 1.41 states/eV per atom


Record 3
# PBE Sc4PdRh2, optimized geometry
data_Sc4PdRh2
_space_group_name_H-M_alt 'R -3 m'
_space_group_IT_number 166
_space_group_name_Hall '-R 3 2"'
_cell_length_a 4.5664
_cell_length_b 4.5664
_cell_length_c 22.2611
_cell_angle_alpha 90.00
_cell_angle_beta 90.00
_cell_angle_gamma 120.00
loop_
_atom_site_label
_atom_site_type_symbol
_atom_site_fract_x
_atom_site_fract_y
_atom_site_fract_z
_atom_site_occupancy
Sc1 Sc 0.0000 0.0000 0.1209 1
Sc2 Sc 0.0000 0.0000 0.3720 1
Pd1 Pd 0.0000 0.0000 0.5000 1
Rh1 Rh 0.0000 0.0000 0.2483 1
# ρ: 6.10 Mg/m³
# Magnetization: 0.000 μB per formula unit
# Volume: 19.143 A^3/atom
# Energy of formation: -834 meV/atom
# E: -7.294 eV per atom
# D(E_F): 0.51 states/eV per atom


Record 4
# PBE Zr2ScTe, optimized geometry
data_Zr2ScTe
_space_group_name_H-M_alt 'R 3 m'
_space_group_IT_number 160
_space_group_name_Hall 'R 3 -2"'
_cell_length_a 3.5216
_cell_length_b 3.5216
_cell_length_c 27.5361
_cell_angle_alpha 90.00
_cell_angle_beta 90.00
_cell_angle_gamma 120.00
loop_
_atom_site_label
_atom_site_type_symbol
_atom_site_fract_x
_atom_site_fract_y
_atom_site_fract_z
_atom_site_occupancy
Zr1 Zr 0.0000 0.0000 0.0000 1
Zr2 Zr 0.0000 0.0000 0.2463 1
Sc1 Sc 0.0000 0.0000 0.4890 1
Te1 Te 0.0000 0.0000 0.7429 1
# ρ: 5.98 Mg/m³
# Magnetization: 0.475 μB per formula unit
# Volume: 24.645 A^3/atom
# E: -6.944 eV per atom
# Formation energy (no corrections): -1.21 eV/f.u.
# D(E_F): 1.16 states/eV per atom


Record 5
# PBE Ta2CrHg2Te6, optimized geometry
data_Ta2CrHg2Te6
_space_group_name_H-M_alt 'C 1 2/m 1'
_space_group_IT_number 12
_cell_length_a 6.421
_cell_length_b 11.131
_cell_length_c 10.262
_cell_angle_alpha 90.00
_cell_angle_beta 104.25
_cell_angle_gamma 90.00
loop_
_space_group_symop_operation_xyz
'x,y,z'
'-x,-y,-z'
'-x,y,-z'
'x,-y,z'
'x+1/2,y+1/2,z'
'-x+1/2,-y+1/2,-z'
'-x+1/2,y+1/2,-z'
'x+1/2,-y+1/2,z'
loop_
_atom_site_label
_atom_site_type_symbol
_atom_site_fract_x
_atom_site_fract_y
_atom_site_fract_z
_atom_site_occupancy
Ta1 Ta 0.000 0.167 0.000 1
Cr1 Cr 0.000 0.500 0.000 1
Hg1 Hg 0.000 0.316 0.500 1
Te1 Te 0.232 0.338 0.178 1
Te2 Te 0.246 0.000 0.178 1
# ρ: 7.38 Mg/m³
# Magnetization: 1.658 μB per formula unit
# Volume: 32.311 A^3/atom
# E: -5.006 eV per atom
# Formation energy (no corrections): -2.29 eV/f.u.
# D(E_F): 0.31 states/eV per atom


Record 6
# PBE RbSb2Se, optimized geometry
data_RbSb2Se
_space_group_name_H-M_alt 'P -1'
_space_group_IT_number 2
_cell_length_a 4.333
_cell_length_b 5.285
_cell_length_c 6.935
_cell_angle_alpha 100.77
_cell_angle_beta 107.92
_cell_angle_gamma 90.11
loop_
_space_group_symop_operation_xyz
'x,y,z'
'-x,-y,-z'
loop_
_atom_site_label
_atom_site_type_symbol
_atom_site_fract_x
_atom_site_fract_y
_atom_site_fract_z
_atom_site_occupancy
Rb1 Rb 0.000 0.000 0.000 1
Sb1 Sb 0.282 0.355 0.569 1
Se1 Se 0.500 0.500 0.000 1
# ρ: 4.57 Mg/m³
# Magnetization: 0.000 μB per formula unit
# Volume: 37.037 A^3/atom
# E: -3.546 eV per atom
# Formation energy (no corrections): -1.49 eV/f.u.
# D(E_F): 0.48 states/eV per atom


Record 7
# PBE Th2CuAg, optimized geometry
data_Th2CuAg
_space_group_name_H-M_alt 'F m -3 m'
_space_group_IT_number 225
_space_group_name_Hall '-F 4 2 3'
_cell_length_a 7.343
_cell_length_b 7.343
_cell_length_c 7.343
_cell_angle_alpha 90.00
_cell_angle_beta 90.00
_cell_angle_gamma 90.00
loop_
_atom_site_label
_atom_site_type_symbol
_atom_site_fract_x
_atom_site_fract_y
_atom_site_fract_z
_atom_site_occupancy
Th1 Th 0.250 0.250 0.250 1
Cu1 Cu 0.000 0.000 0.000 1
Ag1 Ag 0.000 0.000 0.500 1
# ρ: 10.66 Mg/m³
# Magnetization: 0.000 μB per formula unit
# Volume: 24.744 A^3/atom
# Energy of formation: -12 meV/atom
# Energy relative to the lowest polymorph listed for this composition: 29 meV per atom
# E: -5.459 eV per atom
# D(E_F): 1.14 states/eV per atom


Record 8
# PBE BaZn3Pt, optimized geometry
data_BaZn3Pt
_space_group_name_H-M_alt 'A m m 2'
_space_group_IT_number 38
_cell_length_a 3.908
_cell_length_b 4.916
_cell_length_c 14.272
_cell_angle_alpha 90.00
_cell_angle_beta 90.00
_cell_angle_gamma 90.00
loop_
_space_group_symop_operation_xyz
'x,y,z'
'-x,-y,z'
'-x,y,z'
'x,-y,z'
'x,y+1/2,z+1/2'
'-x,-y+1/2,z+1/2'
'-x,y+1/2,z+1/2'
'x,-y+1/2,z+1/2'
loop_
_atom_site_label
_atom_site_type_symbol
_atom_site_fract_x
_atom_site_fract_y
_atom_site_fract_z
_atom_site_occupancy
Ba1 Ba 0.000 0.000 0.000 1
Zn1 Zn 0.000 0.245 0.212 1
Zn2 Zn 0.500 0.000 0.802 1
Pt1 Pt 0.500 0.000 0.618 1
# ρ: 6.40 Mg/m³
# Magnetization: 0.000 μB per formula unit
# Volume: 27.420 A^3/atom
# Energy of formation: -86 meV/atom
# Energy relative to the lowest polymorph listed for this composition: 373 meV per atom
# E: -2.443 eV per atom
# D(E_F): 0.51 states/eV per atom


Record 9
# PBE MgZn2Hg, optimized geometry
data_MgZn2Hg
_space_group_name_H-M_alt 'R 3 m'
_space_group_IT_number 160
_space_group_name_Hall 'R 3 -2"'
_cell_length_a 3.2054
_cell_length_b 3.2054
_cell_length_c 26.2615
_cell_angle_alpha 90.00
_cell_angle_beta 90.00
_cell_angle_gamma 120.00
loop_
_atom_site_label
_atom_site_type_symbol
_atom_site_fract_x
_atom_site_fract_y
_atom_site_fract_z
_atom_site_occupancy
Mg1 Mg 0.0000 0.0000 0.0000 1
Zn1 Zn 0.0000 0.0000 0.2509 1
Zn2 Zn 0.0000 0.0000 0.5124 1
Hg1 Hg 0.0000 0.0000 0.7585 1
# ρ: 7.58 Mg/m³
# Magnetization: 0.000 μB per formula unit
# Volume: 19.473 A^3/atom
# Energy of formation: 25 meV/atom
# Energy relative to the lowest polymorph listed for this composition: 57 meV per atom
# E: -1.086 eV per atom
# D(E_F): 0.34 states/eV per atom


Record 10
# PBE Ce5Pu3Te8, optimized geometry
data_Ce5Pu3Te8
_space_group_name_H-M_alt 'R -3 m'
_space_group_IT_number 166
_space_group_name_Hall '-R 3 2"'
_cell_length_a 8.9098
_cell_length_b 8.9098
_cell_length_c 22.1355
_cell_angle_alpha 90.00
_cell_angle_beta 90.00
_cell_angle_gamma 120.00
loop_
_atom_site_label
_atom_site_type_symbol
_atom_site_fract_x
_atom_site_fract_y
_atom_site_fract_z
_atom_site_occupancy
Ce1 Ce 0.0000 0.0000 0.0000 1
Ce2 Ce 0.0000 0.0000 0.5000 1
Ce3 Ce 0.0000 0.5000 0.0000 1
Pu1 Pu 0.0000 0.5000 0.5000 1
Te1 Te 0.0000 0.0000 0.2479 1
Te2 Te 0.0030 0.5015 0.7514 1
# ρ: 8.03 Mg/m³
# Magnetization: 24.000 μB per formula unit
# Volume: 31.704 A^3/atom
# E: -7.375 eV per atom
# Formation energy (no corrections): -20.20 eV/f.u.
# D(E_F): 3.97 states/eV per atom